DFT (PBE) results for an optimized crystal structure of CoSiP2.

The crystal system is tetragonal. For the total magnetization, the calculation gives 0.00 μB per atom. The calculation puts the density at 4.915 Mg/m³. Its formation energy from raw total energies is 0.360 eV per atom.

The structure belongs to space group P4/mmm (No. 123); the cell edges are 4.350, 4.350 and 2.659 Å and the angles 90.00°, 90.00° and 90.00°. The asymmetric unit holds Co at (0.000, 0.000, 0.000), Si at (0.500, 0.500, 0.000) and P at (0.000, 0.500, 0.500).